Compound: Nb2Pt2O5
Source: OQMD via LeMat-Bulk
Functional: PBE
Structure: optimized geometry

Computed properties:
offset from the most stable computed form: 49.2 kJ/mol of atoms
total energy: -61.76 eV per cell
volume: 98.72 Å³/cell

abc: 8.398 3.429 3.429
angles: 90.00 90.00 90.00
Sites, in units of the cell vectors:
1 Nb 0.000 0.000 0.000
2 Nb 0.500 0.000 0.000
3 O 0.323 0.500 0.000
4 O 0.677 0.500 0.000
5 O 0.323 0.000 0.500
6 O 0.677 0.000 0.500
7 O 0.500 0.500 0.500
8 Pt 0.158 0.500 0.500
9 Pt 0.842 0.500 0.500

Compound: Nb2Pt2O5
Source: OQMD via LeMat-Bulk
Functional: PBE
Structure: optimized geometry

Computed properties:
offset from the most stable computed form: 0.0 kJ/mol of atoms
total energy: -66.34 eV per cell
volume: 116.24 Å³/cell

abc: 8.924 3.609 3.609
angles: 90.00 90.00 90.00
Sites, in units of the cell vectors:
1 Nb 0.282 0.500 0.500
2 Nb 0.718 0.500 0.500
3 O 0.182 0.500 0.000
4 O 0.818 0.500 0.000
5 O 0.182 0.000 0.500
6 O 0.818 0.000 0.500
7 O 0.500 0.500 0.500
8 Pt 0.000 0.000 0.000
9 Pt 0.500 0.000 0.000

Compound: NbPt2O4
Source: OQMD via LeMat-Bulk
Functional: PBE
Structure: optimized geometry

Computed properties:
total energy: -95.61 eV per cell
volume: 180.17 Å³/cell

abc: 6.420 6.420 6.420
angles: 122.30 86.05 122.30
Sites, in units of the cell vectors:
1 Nb 0.000 0.000 0.000
2 Nb 0.750 0.500 0.250
3 O 0.500 0.197 0.303
4 O 0.106 0.803 0.303
5 O 0.053 0.303 0.356
6 O 0.697 0.803 0.500
7 O 0.053 0.697 0.750
8 O 0.697 0.197 0.894
9 O 0.250 0.303 0.947
10 O 0.644 0.697 0.947
11 Pt 0.375 0.750 0.125
12 Pt 0.875 0.250 0.625
13 Pt 0.375 0.750 0.625
14 Pt 0.375 0.250 0.625